Record 1
Material: PmSiS3
Method: DFT, GGA-PBE
State: relaxed

Cell and atoms, written as POSCAR:
```
PmSiS3
1.0
-1.839 -6.320 0.709
1.996 -1.370 -7.035
8.533 -1.718 2.755
S Si Pm
12 4 4
Direct
0.642 0.517 0.728 S
0.137 0.681 0.571 S
0.157 0.686 0.943 S
0.358 0.483 0.272 S
0.343 0.186 0.557 S
0.637 0.819 0.071 S
0.142 0.983 0.228 S
0.863 0.319 0.429 S
0.363 0.181 0.929 S
0.657 0.814 0.443 S
0.858 0.017 0.772 S
0.843 0.314 0.057 S
0.079 0.103 0.431 Si
0.921 0.897 0.569 Si
0.579 0.397 0.931 Si
0.421 0.603 0.069 Si
0.461 0.873 0.748 Pm
0.539 0.127 0.252 Pm
0.961 0.627 0.248 Pm
0.039 0.373 0.752 Pm
```

Output
E_form (uncorrected) in eV/atom: -1.3385
Crystal system: monoclinic

***

Record 2
Material: Mg2NiSb
Method: DFT, GGA-PBE
State: relaxed

Cell and atoms, written as POSCAR:
```
Mg2NiSb
1.0
3.191 0.034 0.000
-0.033 3.191 0.000
0.000 0.000 7.882
Ni Mg Sb
1 2 1
Direct
0.000 0.000 0.505 Ni
0.000 0.000 0.011 Mg
0.500 0.500 0.297 Mg
0.500 0.500 0.688 Sb
```

Output
E_form (uncorrected) in eV/atom: -0.0633
Crystal system: tetragonal

***

Record 3
Material: Sr4CuPt
Method: DFT, GGA-PBE
State: relaxed

Cell and atoms, written as POSCAR:
```
Sr4CuPt
1.0
-1.474 -6.397 -1.257
2.147 -4.797 4.129
-4.351 -3.254 3.892
Sr Pt Cu
4 1 1
Direct
0.877 0.374 0.374 Sr
0.374 0.877 0.374 Sr
0.374 0.374 0.877 Sr
0.374 0.374 0.374 Sr
0.000 0.000 0.000 Pt
0.750 0.750 0.750 Cu
```

Output
ΔH_f (0 K) in kJ per mole of atoms: 75
Crystal system: cubic

***

Record 4
Material: MgPt2N
Method: DFT, GGA-PBE
State: relaxed

Cell and atoms, written as POSCAR:
```
MgPt2N
1.0
2.376 0.360 3.562
-0.133 3.617 2.315
-1.896 0.015 3.856
Pt Mg N
2 1 1
Direct
0.250 0.250 0.250 Pt
0.750 0.750 0.750 Pt
0.500 0.500 0.500 Mg
0.000 0.000 0.000 N
```

Output
E_form (uncorrected) in eV/atom: 0.8127
Crystal system: cubic

***

Record 5
Material: Ho12Pd6Ru
Method: DFT, GGA-PBE
State: relaxed

Cell and atoms, written as POSCAR:
```
Ho12Pd6Ru
1.0
-4.686 5.636 -3.626
-5.775 -4.031 4.156
3.056 4.545 6.073
Pd Ho Ru
6 12 1
Direct
0.377 0.686 0.867 Pd
0.314 0.133 0.623 Pd
0.623 0.314 0.133 Pd
0.867 0.377 0.686 Pd
0.133 0.623 0.314 Pd
0.686 0.867 0.377 Pd
0.417 0.575 0.180 Ho
0.425 0.820 0.583 Ho
0.575 0.180 0.417 Ho
0.080 0.962 0.319 Ho
0.038 0.681 0.920 Ho
0.180 0.417 0.575 Ho
0.820 0.583 0.425 Ho
0.681 0.920 0.038 Ho
0.319 0.080 0.962 Ho
0.920 0.038 0.681 Ho
0.962 0.319 0.080 Ho
0.583 0.425 0.820 Ho
0.000 0.000 0.000 Ru
```

Output
ΔH_f (0 K) in kJ per mole of atoms: -51
Crystal system: trigonal

***

Record 6
Material: Zn4SnAu4
Method: DFT, GGA-PBE
State: relaxed

Cell and atoms, written as POSCAR:
```
Zn4SnAu4
1.0
4.629 0.000 0.000
0.000 8.404 0.000
0.000 0.000 8.404
Zn Au Sn
8 8 2
Direct
0.000 0.638 0.933 Zn
0.000 0.933 0.362 Zn
0.500 0.567 0.138 Zn
0.500 0.862 0.567 Zn
0.500 0.433 0.862 Zn
0.000 0.362 0.067 Zn
0.000 0.067 0.638 Zn
0.500 0.138 0.433 Zn
0.000 0.726 0.623 Au
0.000 0.623 0.274 Au
0.500 0.123 0.774 Au
0.500 0.774 0.877 Au
0.500 0.226 0.123 Au
0.500 0.877 0.226 Au
0.000 0.377 0.726 Au
0.000 0.274 0.377 Au
0.500 0.500 0.500 Sn
0.000 0.000 0.000 Sn
```

Output
ΔH_f (0 K) in kJ per mole of atoms: -10
Crystal system: tetragonal

***

Record 7
Material: Sr2LiScTe4
Method: DFT, GGA-PBE
State: relaxed

Cell and atoms, written as POSCAR:
```
Sr2LiScTe4
1.0
-3.119 0.280 -3.198
-0.297 -7.729 -0.387
-5.141 2.419 5.226
Te Sr Sc Li
4 2 1 1
Direct
0.500 0.235 0.215 Te
0.000 0.749 0.218 Te
0.000 0.251 0.782 Te
0.500 0.765 0.785 Te
0.500 0.000 0.500 Sr
0.000 0.500 0.500 Sr
0.000 0.000 0.000 Sc
0.500 0.500 0.000 Li
```

Output
E_form (uncorrected) in eV/atom: -1.3902
Crystal system: monoclinic

***

Record 8
Material: Ho5Ag4Au
Method: DFT, GGA-PBE
State: relaxed

Cell and atoms, written as POSCAR:
```
Ho5Ag4Au
1.0
-2.650 2.327 0.630
-0.093 -1.035 3.429
12.327 12.893 4.226
Ho Ag Au
5 4 1
Direct
0.500 0.500 0.097 Ho
0.500 0.500 0.903 Ho
0.500 0.500 0.500 Ho
0.500 0.500 0.299 Ho
0.500 0.500 0.701 Ho
0.000 0.000 0.800 Ag
0.000 0.000 0.400 Ag
0.000 0.000 0.200 Ag
0.000 0.000 0.600 Ag
0.000 0.000 0.000 Au
```

Output
ΔH_f (0 K) in kJ per mole of atoms: -43
Crystal system: tetragonal